# 1
First-principles (PBE-GGA) data for a geometry-optimized In3SnBi4 structure, as listed in Alexandria.

abc: 11.1954 11.1954 4.4004
angles: 100.90 100.90 26.52
Last column: nearest neighbours and their distance in Å.
Sites, in units of the cell vectors:
In 0.0000 0.0000 0.0000  4 Bi 3.29-3.34, 4 Sn 3.38
In 0.2440 0.2440 0.2462  4 In 3.38-3.40, 6 Bi 3.38-3.52
In 0.7560 0.7560 0.7538  4 In 3.38-3.40, 6 Bi 3.38-3.52
Sn 0.5000 0.5000 0.5000  4 In 3.38, 8 Bi 3.57-3.62
Bi 0.1160 0.1160 0.6186  4 In 3.29-3.52, 4 Bi 3.39-3.42, 2 Sn 3.57
Bi 0.3655 0.3655 0.8699  4 In 3.38-3.48, 4 Bi 3.39-3.42, 2 Sn 3.62
Bi 0.6345 0.6345 0.1301  4 In 3.38-3.48, 4 Bi 3.39-3.42, 2 Sn 3.62
Bi 0.8840 0.8840 0.3814  4 In 3.29-3.52, 4 Bi 3.39-3.42, 2 Sn 3.57

Computed properties:
ΔH_f (0 K) = 0.0560 eV/atom

=====

# 2
First-principles (PBE-GGA) data for a geometry-optimized TlSeCl2 structure, as listed in Alexandria.

abc: 4.8707 4.8707 7.3875
angles: 90.00 90.00 126.27
Last column: nearest neighbours and their distance in Å.
Sites, in units of the cell vectors:
Tl 0.0000 0.0000 0.0000  4 Cl 3.06
Se 0.0000 0.0000 0.5000  4 Cl 2.70
Cl 0.5000 0.5000 0.2883  2 Se 2.70
Cl 0.5000 0.5000 0.7117  2 Se 2.70

Computed properties:
Uncorrected formation energy = -0.14 eV per atom
Energy above the lowest structure with this stoichiometry = 247 meV/atom

=====

# 3
First-principles (PBE-GGA) data for a geometry-optimized PuMnTc structure, as listed in Alexandria.

abc: 5.3094 5.3094 5.3094
angles: 124.65 117.06 88.65
Last column: nearest neighbours and their distance in Å.
Sites, in units of the cell vectors:
Pu 0.3803 0.1303 0.2500  6 Mn 3.00-3.13, 2 Pu 3.06, 6 Tc 3.14-3.17
Pu 0.6197 0.8697 0.7500  6 Mn 3.00-3.13, 2 Pu 3.06, 6 Tc 3.14-3.17
Mn 0.0000 0.5000 0.5000  4 Tc 2.65, 2 Mn 2.77
Mn 0.5000 0.5000 0.0000  4 Tc 2.65, 2 Mn 2.77
Tc 0.0000 0.0000 0.5000  2 Tc 2.47, 4 Mn 2.65
Tc 0.0000 0.5000 0.0000  2 Tc 2.47, 4 Mn 2.65

Computed properties:
ΔH_f (0 K) = 0.0271 eV/atom
Energy above the lowest structure with this stoichiometry = 0 meV/atom

=====

# 4
First-principles (PBE-GGA) data for a geometry-optimized Tb8Pm2Sm structure, as listed in Alexandria.

abc: 9.2861 9.2861 5.9311
angles: 105.49 105.49 121.56
Last column: nearest neighbours and their distance in Å.
Sites, in units of the cell vectors:
Tb 0.0989 0.3321 0.6757  4 Tb 3.24-3.62, 2 Pm 3.49
Tb 0.2070 0.7930 0.0000  1 Sm 3.36, 2 Pm 3.38, 6 Tb 3.62-3.71
Tb 0.3321 0.0989 0.6757  4 Tb 3.24-3.62, 2 Pm 3.49
Tb 0.4273 0.4273 0.2053  3 Tb 2.99-3.24
Tb 0.5727 0.5727 0.7947  3 Tb 2.99-3.24
Tb 0.6679 0.9011 0.3243  4 Tb 3.24-3.62, 2 Pm 3.49
Tb 0.7930 0.2070 0.0000  1 Sm 3.36, 2 Pm 3.38, 6 Tb 3.62-3.71
Tb 0.9011 0.6679 0.3243  4 Tb 3.24-3.62, 2 Pm 3.49
Pm 0.3070 0.6930 0.5000  8 Tb 3.38-3.49
Pm 0.6930 0.3070 0.5000  8 Tb 3.38-3.49
Sm 0.0000 0.0000 0.0000  4 Tb 3.36-3.37

Computed properties:
ΔH_f (0 K) = 0.1535 eV/atom
Energy above the lowest structure with this stoichiometry = 42 meV/atom

=====

# 5
First-principles (PBE-GGA) data for a geometry-optimized TbHoHg2 structure, as listed in Alexandria.

abc: 9.4460 9.4460 9.4460
angles: 22.81 22.81 22.81
Last column: nearest neighbours and their distance in Å.
Sites, in units of the cell vectors:
Tb 0.0000 0.0000 0.0000  6 Hg 3.17
Ho 0.1663 0.1663 0.1663  6 Hg 3.13-3.14
Hg 0.5823 0.5823 0.5823  3 Ho 3.14, 3 Tb 3.17
Hg 0.7509 0.7509 0.7509  3 Ho 3.13, 3 Tb 3.17

Computed properties:
ΔH_f (0 K) = -0.3338 eV/atom

=====

# 6
First-principles (PBE-GGA) data for a geometry-optimized Al5FeCo6 structure, as listed in Alexandria.

abc: 6.3802 6.3802 5.6985
angles: 90.00 90.00 143.18
Last column: nearest neighbours and their distance in Å.
Sites, in units of the cell vectors:
Al 0.0000 0.0000 0.0000  8 Co 2.47-2.48
Al 0.3330 0.6670 0.0000  8 Co 2.47-2.48
Al 0.3345 0.6655 0.5000  8 Co 2.45-2.48
Al 0.6655 0.3345 0.5000  8 Co 2.45-2.48
Al 0.6670 0.3330 0.0000  8 Co 2.47-2.48
Fe 0.0000 0.0000 0.5000  8 Co 2.46
Co 0.1661 0.8339 0.2517  1 Fe 2.46, 7 Al 2.46-2.48
Co 0.1661 0.8339 0.7483  1 Fe 2.46, 7 Al 2.46-2.48
Co 0.5000 0.5000 0.2527  6 Al 2.45-2.48, 2 Fe 2.46
Co 0.5000 0.5000 0.7473  6 Al 2.45-2.48, 2 Fe 2.46
Co 0.8339 0.1661 0.2517  1 Fe 2.46, 7 Al 2.46-2.48
Co 0.8339 0.1661 0.7483  1 Fe 2.46, 7 Al 2.46-2.48

Computed properties:
ΔH_f (0 K) = -0.5030 eV/atom

=====

# 7
First-principles (PBE-GGA) data for a geometry-optimized Y3Tl2 structure, as listed in Alexandria.

abc: 5.2563 5.2563 6.5266
angles: 90.00 90.00 120.00
Last column: nearest neighbours and their distance in Å.
Sites, in units of the cell vectors:
Y 0.0000 0.0000 0.0000  6 Tl 3.28
Y 0.3333 0.6667 0.3282  5 Tl 3.13-3.40
Y 0.6667 0.3333 0.6718  5 Tl 3.13-3.40
Tl 0.3333 0.6667 0.8077  8 Y 3.13-3.40
Tl 0.6667 0.3333 0.1923  8 Y 3.13-3.40

Computed properties:
ΔH_f (0 K) = -0.1809 eV/atom
Energy above the lowest structure with this stoichiometry = 153 meV/atom

=====

# 8
First-principles (PBE-GGA) data for a geometry-optimized SrI2N2 structure, as listed in Alexandria.

abc: 4.8869 4.8869 4.6642
angles: 90.00 90.00 90.00
Last column: nearest neighbours and their distance in Å.
Sites, in units of the cell vectors:
Sr 0.0000 0.0000 0.0000  8 I 3.38, 4 N 3.46
I 0.0000 0.5000 0.5000  2 N 2.44
I 0.5000 0.0000 0.5000  2 N 2.44
N 0.5000 0.5000 0.0000  2 N 2.33
N 0.5000 0.5000 0.5000  2 N 2.33, 4 I 2.44

Computed properties:
Uncorrected formation energy = 0.96 eV per atom
Energy above the lowest structure with this stoichiometry = 1984 meV/atom